A plane-wave DFT calculation with GGA-PBEsol was carried out for a relaxed UBC crystal.

The structure in extended XYZ format:
```
6
Lattice="-2.447 0.121 -2.119 -0.948 -3.346 0.903 -4.025 0.473 4.674" Properties=species:S:1:pos:R:3 pbc="T T T"
C -5.145 -1.827 2.122
C -2.275 -0.924 1.335
B -6.092 -1.255 3.248
B -1.328 -1.496 0.210
U -3.759 -2.665 0.474
U -3.661 -0.086 2.984
```

* space group: Cmcm
* ΔH_f (0 K): -136 kJ/mol of formula units
* calculated total energy: -60.46 eV/cell